# 1
Density functional theory data (PBE) for crystalline MnTl2S at its relaxed geometry.

It has space group Fm-3m (No. 225), with a = 7.336 Å, b = 7.336 Å, c = 7.336 Å, α = 90.00°, β = 90.00° and γ = 90.00°. The asymmetric unit holds Mn at (0.000, 0.000, 0.000), Tl at (0.250, 0.250, 0.250) and S at (0.000, 0.000, 0.500).

For the uncorrected formation energy, the calculation gives 418 meV per atom. Its crystal system is cubic. As for the energy above the lowest structure with this stoichiometry: 0.55 eV per formula unit.

=====

# 2
Density functional theory data (PBE) for crystalline Na4SrSi3O9 at its relaxed geometry.

It has space group C2 (No. 5), with a = 7.812 Å, b = 10.900 Å, c = 6.604 Å, α = 90.00°, β = 124.86° and γ = 90.00°. The asymmetric unit holds Na at (0.000, 0.000, 0.000), Na at (0.000, 0.463, 0.500), Na at (0.211, 0.262, 0.999), Sr at (0.000, 0.018, 0.500), Si at (0.000, 0.543, 0.000), Si at (0.194, 0.733, 0.469), O at (0.000, 0.704, 0.500), O at (0.095, 0.179, 0.290), O at (0.142, 0.641, 0.237), O at (0.174, 0.471, 0.987) and O at (0.183, 0.873, 0.387).

For the uncorrected formation energy, the calculation gives -2511 meV per atom. Its crystal system is monoclinic.

=====

# 3
Density functional theory data (PBE) for crystalline ScRh3O at its relaxed geometry.

It has space group Pm-3m (No. 221), with a = 4.696 Å, b = 4.696 Å, c = 4.696 Å, α = 90.00°, β = 90.00° and γ = 90.00°. The asymmetric unit holds Sc at (0.000, 0.000, 0.000), Rh at (0.000, 0.000, 0.500) and O at (0.500, 0.500, 0.500).

For the uncorrected formation energy, the calculation gives 1488 meV per atom. Its crystal system is cubic. As for the energy above the lowest structure with this stoichiometry: 9.35 eV per formula unit.

=====

# 4
Density functional theory data (PBE) for crystalline SrCd2Tc at its relaxed geometry.

It has space group C2/m (No. 12), with a = 10.206 Å, b = 2.990 Å, c = 6.071 Å, α = 90.00°, β = 97.69° and γ = 90.00°. The asymmetric unit holds Sr at (0.000, 0.000, 0.000), Cd at (0.236, 0.000, 0.701) and Tc at (0.000, 0.500, 0.500).

Its crystal system is monoclinic. As for the formation energy: 0.44 eV per atom. As for the energy above the lowest structure with this stoichiometry: 0.40 eV per formula unit.

=====

# 5
Density functional theory data (PBE) for crystalline Ho2TmN at its relaxed geometry.

It has space group R-3m (No. 166, hexagonal axes), with a = 3.4528 Å, b = 3.4528 Å, c = 26.6184 Å, α = 90.00°, β = 90.00° and γ = 120.00°. The asymmetric unit holds Ho at (0.0000, 0.0000, 0.2176), Tm at (0.0000, 0.0000, 0.0000) and N at (0.0000, 0.0000, 0.5000).

For the uncorrected formation energy, the calculation gives -784 meV per atom. Its crystal system is trigonal. As for the energy above the lowest structure with this stoichiometry: 0.00 eV per formula unit.

=====

# 6
Density functional theory data (PBE) for crystalline Mg2VPt2 at its relaxed geometry.

It has space group P4/mbm (No. 127), with a = 6.630 Å, b = 6.630 Å, c = 4.006 Å, α = 90.00°, β = 90.00° and γ = 90.00°. The asymmetric unit holds Mg at (0.165, 0.335, 0.000), V at (0.000, 0.000, 0.500) and Pt at (0.141, 0.641, 0.500).

Its crystal system is tetragonal. As for the formation energy: -0.47 eV per atom. As for the energy above the lowest structure with this stoichiometry: 0.00 eV per formula unit.

=====

Number 1: theoretical density 8.34 g/cm3, electronic total energy -4.09 eV/atom, DOS(E_F) 0.49 states/eV per atom. Number 2: theoretical density 2.94 g/cm3, electronic total energy -6.50 eV/atom, DOS(E_F) 0.00 states/eV per atom. Number 3: theoretical density 5.93 g/cm3, electronic total energy -5.18 eV/atom, DOS(E_F) 1.48 states/eV per atom. Number 4: theoretical density 7.42 g/cm3, electronic total energy -3.03 eV/atom, DOS(E_F) 0.74 states/eV per atom. Number 5: theoretical density 9.30 g/cm3, electronic total energy -6.27 eV/atom, DOS(E_F) 0.97 states/eV per atom. Number 6: theoretical density 9.24 g/cm3, electronic total energy -5.34 eV/atom, DOS(E_F) 0.55 states/eV per atom.